VASP calculation (PBE) on an optimized crystal structure of Pr5Dy2YHo.

a = 10.7468 Å, b = 10.7468 Å, c = 10.7190 Å
α = 90.00°, β = 90.00°, γ = 149.40°
With the nearest neighbours (Å) after each atom.
Fractional coordinates of all 18 atoms:
Pr1 0.0140 0.9860 0.5000  2 Y 3.33, 3 Dy 3.49-3.60
Pr2 0.2780 0.7220 0.2007  1 Y 3.11, 1 Dy 3.39, 2 Pr 3.41
Pr3 0.2952 0.7048 0.8068  3 Pr 3.41-3.81, 1 Y 3.44, 3 Ho 3.54-3.81, 3 Dy 3.55-3.78
Pr4 0.3824 0.6176 0.4943  6 Pr 3.63-3.93, 4 Dy 3.66-3.68, 1 Ho 3.80
Pr5 0.4852 0.5148 0.7687  2 Y 3.28-3.42, 2 Dy 3.56, 2 Pr 3.63-3.66
Pr6 0.5148 0.4852 0.2687  2 Y 3.28-3.42, 2 Dy 3.56, 2 Pr 3.63-3.66
Pr7 0.6176 0.3824 0.9943  6 Pr 3.63-3.93, 4 Dy 3.66-3.68, 1 Ho 3.80
Pr8 0.7048 0.2952 0.3068  3 Pr 3.41-3.81, 1 Y 3.44, 3 Ho 3.54-3.81, 3 Dy 3.55-3.78
Pr9 0.7220 0.2780 0.7007  1 Y 3.11, 1 Dy 3.39, 2 Pr 3.41
Pr10 0.9860 0.0140 0.0000  2 Y 3.33, 3 Dy 3.49-3.60
Dy1 0.1144 0.8856 0.2108  9 Pr 3.39-3.73, 1 Ho 3.60
Dy2 0.1138 0.8862 0.7753  1 Ho 3.41, 7 Pr 3.58-3.78, 2 Y 3.76
Dy3 0.8862 0.1138 0.2753  1 Ho 3.41, 7 Pr 3.58-3.78, 2 Y 3.76
Dy4 0.8856 0.1144 0.7108  9 Pr 3.39-3.73, 1 Ho 3.60
Y1 0.4051 0.5949 0.0475  6 Pr 3.11-3.44
Y2 0.5949 0.4051 0.5475  6 Pr 3.11-3.44
Ho1 0.1993 0.8007 0.5037  2 Dy 3.41-3.60, 7 Pr 3.54-3.81, 2 Y 3.60
Ho2 0.8007 0.1993 0.0037  2 Dy 3.41-3.60, 7 Pr 3.54-3.81, 2 Y 3.60

Results
DFT total energy in eV per atom: -4.76

VASP calculation (PBE) on an optimized crystal structure of PrDyYHo.

a = 5.7202 Å, b = 5.7202 Å, c = 5.7202 Å
α = 60.00°, β = 60.00°, γ = 60.00°
With the nearest neighbours (Å) after each atom.
Fractional coordinates of all 4 atoms:
Pr1 0.0000 0.0000 0.0000  4 Ho 3.50, 4 Y 3.50
Dy1 0.5000 0.5000 0.5000  4 Ho 3.50, 4 Y 3.50
Y1 0.2500 0.2500 0.2500  4 Dy 3.50, 4 Pr 3.50
Ho1 0.7500 0.7500 0.7500  4 Pr 3.50, 4 Dy 3.50

Results
DFT total energy in eV per atom: -4.98
Polymorph energy (0 for the lowest one) in eV/atom: 0.004

VASP calculation (PBE) on an optimized crystal structure of Pr2Dy3Ho6Zr.

a = 6.1104 Å, b = 6.1104 Å, c = 11.6761 Å
α = 94.98°, β = 94.98°, γ = 119.93°
With the nearest neighbours (Å) after each atom.
Fractional coordinates of all 12 atoms:
Pr1 0.1667 0.8333 0.0000  6 Ho 3.52, 3 Zr 3.53, 3 Pr 3.53
Pr2 0.8333 0.1667 0.0000  6 Ho 3.52, 3 Zr 3.53, 3 Pr 3.53
Dy1 0.0000 0.0000 0.5000  6 Dy 3.53, 6 Ho 3.53-3.57
Dy2 0.3337 0.6663 0.5000  6 Dy 3.52-3.53, 6 Ho 3.53-3.57
Dy3 0.6663 0.3337 0.5000  6 Dy 3.52-3.53, 6 Ho 3.53-3.57
Ho1 0.0911 0.4172 0.7519  6 Ho 3.45-3.57, 1 Zr 3.48, 2 Pr 3.52, 3 Dy 3.53-3.57
Ho2 0.2568 0.2568 0.2479  6 Ho 3.45-3.57, 1 Zr 3.48, 2 Pr 3.52, 3 Dy 3.53-3.57
Ho3 0.4172 0.0911 0.7519  6 Ho 3.45-3.57, 1 Zr 3.48, 2 Pr 3.52, 3 Dy 3.53-3.57
Ho4 0.5828 0.9089 0.2481  6 Ho 3.45-3.57, 1 Zr 3.48, 2 Pr 3.52, 3 Dy 3.53-3.57
Ho5 0.7432 0.7432 0.7521  6 Ho 3.45-3.57, 1 Zr 3.48, 2 Pr 3.52, 3 Dy 3.53-3.57
Ho6 0.9089 0.5828 0.2481  6 Ho 3.45-3.57, 1 Zr 3.48, 2 Pr 3.52, 3 Dy 3.53-3.57
Zr1 0.5000 0.5000 0.0000  6 Ho 3.48, 6 Pr 3.53

Results
DFT total energy in eV per atom: -4.89

VASP calculation (PBE) on an optimized crystal structure of Pr3Dy6Ho2Zr.

a = 6.1487 Å, b = 6.1487 Å, c = 11.7324 Å
α = 95.00°, β = 95.00°, γ = 119.94°
With the nearest neighbours (Å) after each atom.
Fractional coordinates of all 12 atoms:
Pr1 0.0000 0.0000 0.0000  6 Pr 3.55-3.56, 6 Dy 3.63-3.66
Pr2 0.3339 0.6661 0.0000  6 Pr 3.54-3.56, 6 Dy 3.62-3.66
Pr3 0.6661 0.3339 0.0000  6 Pr 3.54-3.56, 6 Dy 3.62-3.66
Dy1 0.0938 0.4203 0.2599  1 Zr 3.42, 2 Ho 3.46, 6 Dy 3.48-3.59, 3 Pr 3.62-3.66
Dy2 0.2533 0.2533 0.7400  1 Zr 3.42, 2 Ho 3.46, 6 Dy 3.48-3.59, 3 Pr 3.62-3.66
Dy3 0.4203 0.0938 0.2599  1 Zr 3.42, 2 Ho 3.46, 6 Dy 3.48-3.59, 3 Pr 3.62-3.66
Dy4 0.5797 0.9062 0.7401  1 Zr 3.42, 2 Ho 3.46, 6 Dy 3.48-3.59, 3 Pr 3.62-3.66
Dy5 0.7467 0.7467 0.2600  1 Zr 3.42, 2 Ho 3.46, 6 Dy 3.48-3.59, 3 Pr 3.62-3.66
Dy6 0.9062 0.5797 0.7401  1 Zr 3.42, 2 Ho 3.46, 6 Dy 3.48-3.59, 3 Pr 3.62-3.66
Ho1 0.1666 0.8334 0.5000  6 Dy 3.46, 3 Ho 3.55, 3 Zr 3.55
Ho2 0.8334 0.1666 0.5000  6 Dy 3.46, 3 Ho 3.55, 3 Zr 3.55
Zr1 0.5000 0.5000 0.5000  6 Dy 3.42, 6 Ho 3.55

Results
DFT total energy in eV per atom: -4.92

VASP calculation (PBE) on an optimized crystal structure of Dy4HoPt2.

a = 7.7538 Å, b = 6.3599 Å, c = 8.0809 Å
α = 90.00°, β = 112.75°, γ = 90.00°
With the nearest neighbours (Å) after each atom.
Fractional coordinates of all 14 atoms:
Dy1 0.0169 0.2500 0.3870  2 Pt 2.72-2.94
Dy2 0.2470 0.7500 0.3452  2 Pt 2.81-2.85
Dy3 0.4098 0.0056 0.7694  4 Pt 3.06-3.20, 2 Dy 3.11-3.25
Dy4 0.4098 0.4944 0.7694  4 Pt 3.06-3.20, 2 Dy 3.11-3.25
Dy5 0.5902 0.5056 0.2306  4 Pt 3.06-3.20, 2 Dy 3.11-3.25
Dy6 0.5902 0.9944 0.2306  4 Pt 3.06-3.20, 2 Dy 3.11-3.25
Dy7 0.7530 0.2500 0.6548  2 Pt 2.81-2.85
Dy8 0.9831 0.7500 0.6130  2 Pt 2.72-2.94
Ho1 0.1531 0.2500 0.0281  2 Pt 2.91-3.01
Ho2 0.8469 0.7500 0.9719  2 Pt 2.91-3.01
Pt1 0.2426 0.7500 0.9914  6 Dy 2.85-3.06, 1 Ho 3.01
Pt2 0.3776 0.2500 0.4121  2 Dy 2.72-2.81, 1 Ho 2.91
Pt3 0.6224 0.7500 0.5879  2 Dy 2.72-2.81, 1 Ho 2.91
Pt4 0.7574 0.2500 0.0086  6 Dy 2.85-3.06, 1 Ho 3.01

Results
DFT total energy in eV per atom: -5.71

VASP calculation (PBE) on an optimized crystal structure of DyHoPt4.

a = 5.4305 Å, b = 5.4305 Å, c = 5.4305 Å
α = 60.00°, β = 60.00°, γ = 60.00°
With the nearest neighbours (Å) after each atom.
Fractional coordinates of all 6 atoms:
Dy1 0.0000 0.0000 0.0000  12 Pt 3.18, 4 Ho 3.33
Ho1 0.2500 0.2500 0.2500  12 Pt 3.18, 4 Dy 3.33
Pt1 0.1251 0.6250 0.6250  6 Pt 2.71-2.72
Pt2 0.6250 0.1251 0.6250  6 Pt 2.71-2.72
Pt3 0.6250 0.6250 0.1251  6 Pt 2.71-2.72
Pt4 0.6250 0.6250 0.6250  6 Pt 2.71-2.72

Results
DFT total energy in eV per atom: -6.68

VASP calculation (PBE) on an optimized crystal structure of Dy3HoPt4.

a = 8.5165 Å, b = 8.5165 Å, c = 8.5165 Å
α = 154.27°, β = 134.35°, γ = 53.13°
With the nearest neighbours (Å) after each atom.
Fractional coordinates of all 8 atoms:
Dy1 0.0000 0.0000 0.0000  8 Pt 3.05
Dy2 0.2995 0.7995 0.5000  6 Pt 2.93-2.94
Dy3 0.7005 0.2005 0.5000  6 Pt 2.93-2.94
Ho1 0.5000 0.5000 0.0000  4 Pt 2.76
Pt1 0.0777 0.3715 0.7063  1 Pt 2.73, 1 Ho 2.76, 5 Dy 2.93-3.05
Pt2 0.3348 0.6285 0.7063  1 Pt 2.73, 1 Ho 2.76, 5 Dy 2.93-3.05
Pt3 0.6652 0.3715 0.2937  1 Pt 2.73, 1 Ho 2.76, 5 Dy 2.93-3.05
Pt4 0.9223 0.6285 0.2937  1 Pt 2.73, 1 Ho 2.76, 5 Dy 2.93-3.05

Results
DFT total energy in eV per atom: -6.37

VASP calculation (PBE) on an optimized crystal structure of Dy2HoPt9.

a = 4.1156 Å, b = 4.1156 Å, c = 12.3467 Å
α = 90.00°, β = 90.00°, γ = 90.00°
With the nearest neighbours (Å) after each atom.
Fractional coordinates of all 12 atoms:
Dy1 0.0000 0.0000 0.1669  12 Pt 2.91
Dy2 0.0000 0.0000 0.8331  12 Pt 2.91
Ho1 0.0000 0.0000 0.5000  12 Pt 2.90-2.91
Pt1 0.0000 0.5000 0.0000  8 Pt 2.91, 4 Dy 2.91
Pt2 0.0000 0.5000 0.3340  2 Ho 2.90, 8 Pt 2.90-2.91, 2 Dy 2.91
Pt3 0.0000 0.5000 0.6660  2 Ho 2.90, 8 Pt 2.90-2.91, 2 Dy 2.91
Pt4 0.5000 0.0000 0.0000  8 Pt 2.91, 4 Dy 2.91
Pt5 0.5000 0.0000 0.3340  2 Ho 2.90, 8 Pt 2.90-2.91, 2 Dy 2.91
Pt6 0.5000 0.0000 0.6660  2 Ho 2.90, 8 Pt 2.90-2.91, 2 Dy 2.91
Pt7 0.5000 0.5000 0.1670  4 Dy 2.91, 8 Pt 2.91
Pt8 0.5000 0.5000 0.5000  8 Pt 2.90, 4 Ho 2.91
Pt9 0.5000 0.5000 0.8330  4 Dy 2.91, 8 Pt 2.91

Results
DFT total energy in eV per atom: -6.72

VASP calculation (PBE) on an optimized crystal structure of Dy3Ho4Pt4.

a = 8.9680 Å, b = 8.9680 Å, c = 8.9680 Å
α = 151.65°, β = 126.80°, γ = 61.38°
With the nearest neighbours (Å) after each atom.
Fractional coordinates of all 11 atoms:
Dy1 0.0000 0.0000 0.0000  6 Pt 3.33-3.37
Dy2 0.3977 0.8977 0.5000  4 Pt 3.07, 1 Dy 3.16, 4 Ho 3.39
Dy3 0.6023 0.1023 0.5000  4 Pt 3.07, 1 Dy 3.16, 4 Ho 3.39
Ho1 0.0359 0.3307 0.7052  4 Pt 2.76-2.95
Ho2 0.3745 0.6693 0.7052  4 Pt 2.76-2.95
Ho3 0.6255 0.3307 0.2948  4 Pt 2.76-2.95
Ho4 0.9641 0.6693 0.2948  4 Pt 2.76-2.95
Pt1 0.2161 0.2161 0.0000  6 Ho 2.84-2.95
Pt2 0.3182 0.5000 0.8182  2 Ho 2.76, 1 Pt 2.92, 4 Dy 3.07
Pt3 0.6818 0.5000 0.1818  2 Ho 2.76, 1 Pt 2.92, 4 Dy 3.07
Pt4 0.7839 0.7839 0.0000  6 Ho 2.84-2.95

Results
DFT total energy in eV per atom: -6.02

VASP calculation (PBE) on an optimized crystal structure of Dy3HoPt12.

a = 4.1232 Å, b = 4.1232 Å, c = 16.4209 Å
α = 90.00°, β = 90.00°, γ = 90.00°
With the nearest neighbours (Å) after each atom.
Fractional coordinates of all 16 atoms:
Dy1 0.0000 0.0000 0.0000  12 Pt 2.91-2.92
Dy2 0.0000 0.0000 0.2503  12 Pt 2.91-2.92
Dy3 0.0000 0.0000 0.7497  12 Pt 2.91-2.92
Ho1 0.0000 0.0000 0.5000  12 Pt 2.90-2.92
Pt1 0.0000 0.5000 0.1252  4 Dy 2.91, 8 Pt 2.91-2.92
Pt2 0.0000 0.5000 0.3755  2 Ho 2.90, 8 Pt 2.90-2.92, 2 Dy 2.91
Pt3 0.0000 0.5000 0.6245  2 Ho 2.90, 8 Pt 2.90-2.92, 2 Dy 2.91
Pt4 0.0000 0.5000 0.8748  4 Dy 2.91, 8 Pt 2.91-2.92
Pt5 0.5000 0.0000 0.1252  4 Dy 2.91, 8 Pt 2.91-2.92
Pt6 0.5000 0.0000 0.3755  2 Ho 2.90, 8 Pt 2.90-2.92, 2 Dy 2.91
Pt7 0.5000 0.0000 0.6245  2 Ho 2.90, 8 Pt 2.90-2.92, 2 Dy 2.91
Pt8 0.5000 0.0000 0.8748  4 Dy 2.91, 8 Pt 2.91-2.92
Pt9 0.5000 0.5000 0.0000  8 Pt 2.91, 4 Dy 2.92
Pt10 0.5000 0.5000 0.2503  8 Pt 2.91, 4 Dy 2.92
Pt11 0.5000 0.5000 0.5000  8 Pt 2.90, 4 Ho 2.92
Pt12 0.5000 0.5000 0.7497  8 Pt 2.91, 4 Dy 2.92

Results
DFT total energy in eV per atom: -6.72

One value per record, in order, for formation energy from the elements: 0.143; 0.122; 0.055; 0.047; -0.699; -1.126; -1.055; -1.044; -0.904; -1.040 eV per atom.